## SrCdSeO (PBE)

Data for a relaxed SrCdSeO crystal.

Cell: 4.1384 14.5737 6.3213 Å, 90.00 90.00 90.00°
Space group Cmc2_1 (No. 36)
Symmetry-distinct sites (fractional):
Sr  0.0000  0.1561  0.0000 x4
Cd  0.0000  0.4377  0.9073 x4
Se  0.0000  0.1712  0.5070 x4
O  0.0000  0.4278  0.5523 x4

Properties
The total energy is -4.3953 eV per atom. As for the calculated volume: 23.8 Å³/atom.